[1]
# CsTlBr2 (PBEsol, optimized geometry)
data_CsTlBr2
_chemical_formula_sum 'Cs1 Tl1 Br2'
_cell_length_a 5.7511
_cell_length_b 5.7511
_cell_length_c 5.7511
_cell_angle_alpha 60.00
_cell_angle_beta 60.00
_cell_angle_gamma 60.00
_symmetry_space_group_name_H-M 'P 1'
_symmetry_Int_Tables_number 1
_symmetry_space_group_name_Hall 'P 1'
loop_
_atom_site_label
_atom_site_fract_x
_atom_site_fract_y
_atom_site_fract_z
Cs1 0.0000 0.0000 0.0000
Br1 0.2500 0.2500 0.2500
Br2 0.7500 0.7500 0.7500
Tl1 0.5000 0.5000 0.5000
# Formation energy without anion corrections, meV per atom: -1240.9
# Space-group type: Fm-3m (225)

=====

[2]
# ZnTe2Pt (PBEsol, optimized geometry)
data_ZnTe2Pt
_chemical_formula_sum 'Zn1 Te2 Pt1'
_cell_length_a 3.8730
_cell_length_b 3.8730
_cell_length_c 6.3674
_cell_angle_alpha 107.71
_cell_angle_beta 107.71
_cell_angle_gamma 90.00
_symmetry_space_group_name_H-M 'P 1'
_symmetry_Int_Tables_number 1
_symmetry_space_group_name_Hall 'P 1'
loop_
_atom_site_label
_atom_site_fract_x
_atom_site_fract_y
_atom_site_fract_z
Pt1 0.2500 0.7500 0.5000
Zn1 0.5000 0.5000 0.0000
Te1 0.0000 0.0000 0.0000
Te2 0.7500 0.2500 0.5000
# Formation energy without anion corrections, meV per atom: 202.6
# Space-group type: I-4m2 (119)

=====

[3]
# Ho2MgS4 (PBEsol, optimized geometry)
data_Ho2MgS4
_chemical_formula_sum 'Ho4 Mg2 S8'
_cell_length_a 7.7807
_cell_length_b 7.7807
_cell_length_c 7.7807
_cell_angle_alpha 60.00
_cell_angle_beta 60.00
_cell_angle_gamma 60.00
_symmetry_space_group_name_H-M 'P 1'
_symmetry_Int_Tables_number 1
_symmetry_space_group_name_Hall 'P 1'
loop_
_atom_site_label
_atom_site_fract_x
_atom_site_fract_y
_atom_site_fract_z
Mg1 0.5000 0.5000 0.5000
Mg2 0.7500 0.7500 0.7500
Ho1 0.1250 0.1250 0.1250
Ho2 0.6250 0.1250 0.1250
Ho3 0.1250 0.6250 0.1250
Ho4 0.1250 0.1250 0.6250
S1 0.3699 0.8903 0.3699
S2 0.8801 0.3597 0.8801
S3 0.8801 0.8801 0.3597
S4 0.3699 0.3699 0.8903
S5 0.3699 0.3699 0.3699
S6 0.3597 0.8801 0.8801
S7 0.8801 0.8801 0.8801
S8 0.8903 0.3699 0.3699
# Formation energy without anion corrections, meV per atom: -1903.8
# E above lowest polymorph, eV/f.u.: 0.000
# Space-group type: Fd-3m (227)

=====

[4]
# AlIrS2N (PBEsol, optimized geometry)
data_AlIrS2N
_chemical_formula_sum 'Al1 Ir1 S2 N1'
_cell_length_a 3.4752
_cell_length_b 4.5767
_cell_length_c 4.5767
_cell_angle_alpha 90.00
_cell_angle_beta 90.00
_cell_angle_gamma 90.00
_symmetry_space_group_name_H-M 'P 1'
_symmetry_Int_Tables_number 1
_symmetry_space_group_name_Hall 'P 1'
loop_
_atom_site_label
_atom_site_fract_x
_atom_site_fract_y
_atom_site_fract_z
Al1 0.0000 0.0000 0.0000
S1 0.0000 0.0000 0.5000
S2 0.0000 0.5000 0.0000
Ir1 0.5000 0.5000 0.5000
N1 0.5000 0.0000 0.0000
# Formation energy without anion corrections, meV per atom: 760.5
# Space-group type: P4/mmm (123)

=====

[5]
# LiCd2TcIr (PBEsol, optimized geometry)
data_LiCd2TcIr
_chemical_formula_sum 'Li1 Cd2 Tc1 Ir1'
_cell_length_a 4.2260
_cell_length_b 4.3436
_cell_length_c 4.3436
_cell_angle_alpha 90.00
_cell_angle_beta 90.00
_cell_angle_gamma 90.00
_symmetry_space_group_name_H-M 'P 1'
_symmetry_Int_Tables_number 1
_symmetry_space_group_name_Hall 'P 1'
loop_
_atom_site_label
_atom_site_fract_x
_atom_site_fract_y
_atom_site_fract_z
Li1 0.0000 0.0000 0.0000
Ir1 0.5000 0.0000 0.0000
Cd1 0.0000 0.0000 0.5000
Cd2 0.0000 0.5000 0.0000
Tc1 0.5000 0.5000 0.5000
# Energy of formation, eV/atom: 0.964
# Space-group type: P4/mmm (123)

=====

[6]
# WAu3 (PBEsol, optimized geometry)
data_WAu3
_chemical_formula_sum 'W1 Au3'
_cell_length_a 5.0108
_cell_length_b 5.0108
_cell_length_c 5.0108
_cell_angle_alpha 90.00
_cell_angle_beta 90.00
_cell_angle_gamma 90.00
_symmetry_space_group_name_H-M 'P 1'
_symmetry_Int_Tables_number 1
_symmetry_space_group_name_Hall 'P 1'
loop_
_atom_site_label
_atom_site_fract_x
_atom_site_fract_y
_atom_site_fract_z
W1 0.0000 0.0000 0.0000
Au1 0.5000 0.0000 0.0000
Au2 0.0000 0.5000 0.0000
Au3 0.0000 0.0000 0.5000
# Energy of formation, eV/atom: 1.683
# Space-group type: Pm-3m (221)

=====

[7]
# InIr2W (PBEsol, optimized geometry)
data_InIr2W
_chemical_formula_sum 'In1 Ir2 W1'
_cell_length_a 4.4631
_cell_length_b 4.4631
_cell_length_c 4.4631
_cell_angle_alpha 60.00
_cell_angle_beta 60.00
_cell_angle_gamma 60.00
_symmetry_space_group_name_H-M 'P 1'
_symmetry_Int_Tables_number 1
_symmetry_space_group_name_Hall 'P 1'
loop_
_atom_site_label
_atom_site_fract_x
_atom_site_fract_y
_atom_site_fract_z
W1 0.2500 0.2500 0.2500
Ir1 0.0000 0.0000 0.0000
Ir2 0.7500 0.7500 0.7500
In1 0.5000 0.5000 0.5000
# Energy of formation, eV/atom: 0.390
# Space-group type: F-43m (216)

=====

[8]
# AlSi2Tc (PBEsol, optimized geometry)
data_AlSi2Tc
_chemical_formula_sum 'Al1 Si2 Tc1'
_cell_length_a 3.1258
_cell_length_b 4.1519
_cell_length_c 4.1519
_cell_angle_alpha 90.00
_cell_angle_beta 90.00
_cell_angle_gamma 90.00
_symmetry_space_group_name_H-M 'P 1'
_symmetry_Int_Tables_number 1
_symmetry_space_group_name_Hall 'P 1'
loop_
_atom_site_label
_atom_site_fract_x
_atom_site_fract_y
_atom_site_fract_z
Tc1 0.5000 0.5000 0.5000
Si1 0.0000 0.0000 0.5000
Si2 0.0000 0.5000 0.0000
Al1 0.5000 0.0000 0.0000
# Formation energy without anion corrections, meV per atom: -43.6
# Space-group type: P4/mmm (123)

=====

[9]
# RePtW2 (PBEsol, optimized geometry)
data_RePtW2
_chemical_formula_sum 'Re1 Pt1 W2'
_cell_length_a 2.6919
_cell_length_b 2.6919
_cell_length_c 8.6795
_cell_angle_alpha 90.00
_cell_angle_beta 90.00
_cell_angle_gamma 104.40
_symmetry_space_group_name_H-M 'P 1'
_symmetry_Int_Tables_number 1
_symmetry_space_group_name_Hall 'P 1'
loop_
_atom_site_label
_atom_site_fract_x
_atom_site_fract_y
_atom_site_fract_z
W1 0.0000 0.0000 0.0025
W2 0.5000 0.5000 0.7470
Re1 0.5000 0.5000 0.2497
Pt1 0.0000 0.0000 0.5008
# Energy of formation, eV/atom: 0.077
# E above lowest polymorph, eV/f.u.: 0.708
# Space-group type: Cmm2 (35)

=====

[10]
# TlCd5 (PBEsol, optimized geometry)
data_TlCd5
_chemical_formula_sum 'Tl1 Cd5'
_cell_length_a 4.7706
_cell_length_b 5.8832
_cell_length_c 5.8832
_cell_angle_alpha 120.00
_cell_angle_beta 90.00
_cell_angle_gamma 90.00
_symmetry_space_group_name_H-M 'P 1'
_symmetry_Int_Tables_number 1
_symmetry_space_group_name_Hall 'P 1'
loop_
_atom_site_label
_atom_site_fract_x
_atom_site_fract_y
_atom_site_fract_z
Cd1 0.5000 0.5000 0.5000
Cd2 0.0000 0.6667 0.3333
Cd3 0.5000 0.5000 0.0000
Cd4 0.5000 0.0000 0.5000
Cd5 0.0000 0.3333 0.6667
Tl1 0.0000 0.0000 0.0000
# Energy of formation, eV/atom: 0.067
# E above lowest polymorph, eV/f.u.: 0.242
# Space-group type: P6/mmm (191)

=====

[11]
# RbRuCl2 (PBEsol, optimized geometry)
data_RbRuCl2
_chemical_formula_sum 'Rb1 Ru1 Cl2'
_cell_length_a 4.9709
_cell_length_b 4.9709
_cell_length_c 4.9709
_cell_angle_alpha 60.00
_cell_angle_beta 60.00
_cell_angle_gamma 60.00
_symmetry_space_group_name_H-M 'P 1'
_symmetry_Int_Tables_number 1
_symmetry_space_group_name_Hall 'P 1'
loop_
_atom_site_label
_atom_site_fract_x
_atom_site_fract_y
_atom_site_fract_z
Cl1 0.2500 0.2500 0.2500
Cl2 0.7500 0.7500 0.7500
Rb1 0.0000 0.0000 0.0000
Ru1 0.5000 0.5000 0.5000
# Formation energy without anion corrections, meV per atom: -15.9
# Space-group type: Fm-3m (225)

=====

[12]
# Re4AsOs (PBEsol, optimized geometry)
data_Re4AsOs
_chemical_formula_sum 'Re4 As1 Os1'
_cell_length_a 5.1269
_cell_length_b 5.1269
_cell_length_c 5.1269
_cell_angle_alpha 60.00
_cell_angle_beta 60.00
_cell_angle_gamma 60.00
_symmetry_space_group_name_H-M 'P 1'
_symmetry_Int_Tables_number 1
_symmetry_space_group_name_Hall 'P 1'
loop_
_atom_site_label
_atom_site_fract_x
_atom_site_fract_y
_atom_site_fract_z
Os1 0.0000 0.0000 0.0000
Re1 0.3753 0.3753 0.8741
Re2 0.3753 0.3753 0.3753
Re3 0.8741 0.3753 0.3753
Re4 0.3753 0.8741 0.3753
As1 0.7500 0.7500 0.7500
# Energy of formation, eV/atom: 0.904
# Space-group type: F-43m (216)

=====

[13]
# Ce2HfCo16 (PBEsol, optimized geometry)
data_Ce2HfCo16
_chemical_formula_sum 'Ce4 Hf2 Co32'
_cell_length_a 8.0562
_cell_length_b 8.2281
_cell_length_c 8.2281
_cell_angle_alpha 120.00
_cell_angle_beta 90.00
_cell_angle_gamma 90.00
_symmetry_space_group_name_H-M 'P 1'
_symmetry_Int_Tables_number 1
_symmetry_space_group_name_Hall 'P 1'
loop_
_atom_site_label
_atom_site_fract_x
_atom_site_fract_y
_atom_site_fract_z
Co1 0.7487 0.3270 0.3656
Co2 0.7487 0.6344 0.6730
Co3 0.7487 0.6344 0.9614
Co4 0.5158 0.8342 0.1658
Co5 0.2513 0.3656 0.3270
Co6 0.0000 0.5000 0.0000
Co7 0.4099 0.6667 0.3333
Co8 0.4842 0.1658 0.8342
Co9 0.2513 0.9614 0.6344
Co10 0.9720 0.3270 0.1635
Co11 0.5000 0.5000 0.0000
Co12 0.5000 0.0000 0.5000
Co13 0.9720 0.8365 0.6730
Co14 0.7487 0.0386 0.3656
Co15 0.9720 0.8365 0.1635
Co16 0.0000 0.5000 0.5000
Co17 0.5158 0.3317 0.1658
Co18 0.4842 0.6683 0.8342
Co19 0.0280 0.6730 0.8365
Co20 0.5000 0.5000 0.5000
Co21 0.7487 0.3270 0.9614
Co22 0.0280 0.1635 0.3270
Co23 0.5901 0.3333 0.6667
Co24 0.2513 0.6730 0.6344
Co25 0.4842 0.1658 0.3317
Co26 0.5158 0.8342 0.6683
Co27 0.2513 0.9614 0.3270
Co28 0.7487 0.0386 0.6730
Co29 0.2513 0.3656 0.0386
Co30 0.0000 0.0000 0.5000
Co31 0.2513 0.6730 0.0386
Co32 0.0280 0.1635 0.8365
Ce1 0.2479 0.0000 0.0000
Ce2 0.7521 0.0000 0.0000
Ce3 0.2696 0.3333 0.6667
Ce4 0.7304 0.6667 0.3333
Hf1 0.8874 0.3333 0.6667
Hf2 0.1126 0.6667 0.3333
# Energy of formation, eV/atom: -0.110
# Space-group type: P-3m1 (164)

=====

[14]
# Sr2AgPt (PBEsol, optimized geometry)
data_Sr2AgPt
_chemical_formula_sum 'Sr2 Ag1 Pt1'
_cell_length_a 4.4160
_cell_length_b 4.4160
_cell_length_c 5.9933
_cell_angle_alpha 111.62
_cell_angle_beta 111.62
_cell_angle_gamma 90.00
_symmetry_space_group_name_H-M 'P 1'
_symmetry_Int_Tables_number 1
_symmetry_space_group_name_Hall 'P 1'
loop_
_atom_site_label
_atom_site_fract_x
_atom_site_fract_y
_atom_site_fract_z
Pt1 0.2500 0.7500 0.5000
Ag1 0.5000 0.5000 0.0000
Sr1 0.0000 0.0000 0.0000
Sr2 0.7500 0.2500 0.5000
# Energy of formation, eV/atom: -0.286
# E above lowest polymorph, eV/f.u.: 0.897
# Space-group type: I-4m2 (119)

=====

[15]
# Mg3Hg (PBEsol, optimized geometry)
data_Mg3Hg
_chemical_formula_sum 'Mg3 Hg1'
_cell_length_a 3.4251
_cell_length_b 3.7690
_cell_length_c 6.5550
_cell_angle_alpha 90.00
_cell_angle_beta 90.00
_cell_angle_gamma 90.00
_symmetry_space_group_name_H-M 'P 1'
_symmetry_Int_Tables_number 1
_symmetry_space_group_name_Hall 'P 1'
loop_
_atom_site_label
_atom_site_fract_x
_atom_site_fract_y
_atom_site_fract_z
Mg1 0.5000 0.5000 0.7641
Mg2 0.0000 0.0000 0.5000
Mg3 0.5000 0.5000 0.2359
Hg1 0.0000 0.0000 0.0000
# Energy of formation, eV/atom: -0.154
# Space-group type: Pmmm (47)

=====

[16]
# Mo2Rh2Pb (PBEsol, optimized geometry)
data_Mo2Rh2Pb
_chemical_formula_sum 'Mo2 Rh2 Pb1'
_cell_length_a 3.5815
_cell_length_b 3.5815
_cell_length_c 7.1120
_cell_angle_alpha 104.58
_cell_angle_beta 104.58
_cell_angle_gamma 90.00
_symmetry_space_group_name_H-M 'P 1'
_symmetry_Int_Tables_number 1
_symmetry_space_group_name_Hall 'P 1'
loop_
_atom_site_label
_atom_site_fract_x
_atom_site_fract_y
_atom_site_fract_z
Rh1 0.3989 0.3989 0.7979
Rh2 0.6011 0.6011 0.2021
Mo1 0.2500 0.7500 0.5000
Mo2 0.7500 0.2500 0.5000
Pb1 0.0000 0.0000 0.0000
# Energy of formation, eV/atom: 0.271
# Space-group type: I4/mmm (139)

=====

[17]
# Tb5Sn3 (PBEsol, optimized geometry)
data_Tb5Sn3
_chemical_formula_sum 'Tb10 Sn6'
_cell_length_a 6.4821
_cell_length_b 8.8829
_cell_length_c 8.8829
_cell_angle_alpha 120.00
_cell_angle_beta 90.00
_cell_angle_gamma 90.00
_symmetry_space_group_name_H-M 'P 1'
_symmetry_Int_Tables_number 1
_symmetry_space_group_name_Hall 'P 1'
loop_
_atom_site_label
_atom_site_fract_x
_atom_site_fract_y
_atom_site_fract_z
Tb1 0.5000 0.6667 0.3333
Tb2 0.7500 0.7617 0.0000
Tb3 0.7500 0.2383 0.2383
Tb4 0.2500 0.7617 0.7617
Tb5 0.0000 0.6667 0.3333
Tb6 0.0000 0.3333 0.6667
Tb7 0.2500 0.0000 0.2383
Tb8 0.2500 0.2383 0.0000
Tb9 0.5000 0.3333 0.6667
Tb10 0.7500 0.0000 0.7617
Sn1 0.2500 0.3957 0.3957
Sn2 0.2500 0.6043 0.0000
Sn3 0.7500 0.0000 0.3957
Sn4 0.7500 0.6043 0.6043
Sn5 0.2500 0.0000 0.6043
Sn6 0.7500 0.3957 0.0000
# Energy of formation, eV/atom: -0.760
# Space-group type: P6_3/mcm (193)

=====

[18]
# KCdP (PBEsol, optimized geometry)
data_KCdP
_chemical_formula_sum 'K1 Cd1 P1'
_cell_length_a 4.3445
_cell_length_b 4.3445
_cell_length_c 5.0375
_cell_angle_alpha 90.00
_cell_angle_beta 90.00
_cell_angle_gamma 120.00
_symmetry_space_group_name_H-M 'P 1'
_symmetry_Int_Tables_number 1
_symmetry_space_group_name_Hall 'P 1'
loop_
_atom_site_label
_atom_site_fract_x
_atom_site_fract_y
_atom_site_fract_z
P1 0.6667 0.3333 0.5000
Cd1 0.0000 0.0000 0.5000
K1 0.3333 0.6667 0.0000
# Energy of formation, eV/atom: -0.320
# Space-group type: P-6m2 (187)

=====

[19]
# InRhAu3 (PBEsol, optimized geometry)
data_InRhAu3
_chemical_formula_sum 'In1 Rh1 Au3'
_cell_length_a 4.9367
_cell_length_b 4.9367
_cell_length_c 4.9367
_cell_angle_alpha 90.00
_cell_angle_beta 90.00
_cell_angle_gamma 90.00
_symmetry_space_group_name_H-M 'P 1'
_symmetry_Int_Tables_number 1
_symmetry_space_group_name_Hall 'P 1'
loop_
_atom_site_label
_atom_site_fract_x
_atom_site_fract_y
_atom_site_fract_z
Au1 0.0000 0.5000 0.0000
Au2 0.5000 0.0000 0.0000
Au3 0.0000 0.0000 0.5000
In1 0.5000 0.5000 0.5000
Rh1 0.0000 0.0000 0.0000
# Energy of formation, eV/atom: 0.807
# Space-group type: Pm-3m (221)

=====

[20]
# RbYTi2F (PBEsol, optimized geometry)
data_RbYTi2F
_chemical_formula_sum 'Rb1 Y1 Ti2 F1'
_cell_length_a 4.6921
_cell_length_b 4.6921
_cell_length_c 8.4649
_cell_angle_alpha 90.00
_cell_angle_beta 90.00
_cell_angle_gamma 90.00
_symmetry_space_group_name_H-M 'P 1'
_symmetry_Int_Tables_number 1
_symmetry_space_group_name_Hall 'P 1'
loop_
_atom_site_label
_atom_site_fract_x
_atom_site_fract_y
_atom_site_fract_z
Y1 0.0000 0.0000 0.0000
Ti1 0.5000 0.0000 0.0000
Ti2 0.0000 0.5000 0.0000
Rb1 0.0000 0.0000 0.5000
F1 0.5000 0.5000 0.5000
# Formation energy without anion corrections, meV per atom: 1020.1
# Space-group type: P4/mmm (123)